a.
Below is AgOsRh2 after structural relaxation, with properties calculated at the PBEsol level.

Magnetization = 0.00 μB per cell
Crystal system = orthorhombic

The structure in CIF format:
```
data_AgOsRh2
_chemical_formula_sum 'Ag2 Os2 Rh4'
_cell_length_a 2.702
_cell_length_b 4.543
_cell_length_c 9.602
_cell_angle_alpha 90.00
_cell_angle_beta 90.00
_cell_angle_gamma 90.00
_symmetry_space_group_name_H-M 'I m m 2'
_symmetry_Int_Tables_number 44
loop_
_symmetry_equiv_pos_as_xyz
'x,y,z'
'-x,-y,z'
'-x,y,z'
'x,-y,z'
'x+1/2,y+1/2,z+1/2'
'-x+1/2,-y+1/2,z+1/2'
'-x+1/2,y+1/2,z+1/2'
'x+1/2,-y+1/2,z+1/2'
loop_
_atom_site_label
_atom_site_type_symbol
_atom_site_fract_x
_atom_site_fract_y
_atom_site_fract_z
_atom_site_occupancy
Ag1 Ag 0.000 0.000 0.000 1
Os1 Os 0.000 0.500 0.768 1
Rh1 Rh 0.000 0.000 0.486 1
Rh2 Rh 0.000 0.500 0.223 1
```

***

b.
Below is AgOsRh2 after structural relaxation, with properties calculated at the PBEsol level.

Magnetization = 0.00 μB per cell
Crystal system = tetragonal

The structure in CIF format:
```
data_AgOsRh2
_chemical_formula_sum 'Ag1 Os1 Rh2'
_cell_length_a 2.720
_cell_length_b 2.720
_cell_length_c 7.740
_cell_angle_alpha 90.00
_cell_angle_beta 90.00
_cell_angle_gamma 90.00
_symmetry_space_group_name_H-M 'P 4/m m m'
_symmetry_Int_Tables_number 123
_symmetry_space_group_name_Hall '-P 4 2'
loop_
_atom_site_label
_atom_site_type_symbol
_atom_site_fract_x
_atom_site_fract_y
_atom_site_fract_z
_atom_site_occupancy
Ag1 Ag 0.000 0.000 0.000 1
Os1 Os 0.000 0.000 0.500 1
Rh1 Rh 0.500 0.500 0.268 1
```

***

Tell me which of them is the least stable. Sure, it is a.

***

a.
Below is AgOsRh2 after structural relaxation, with properties calculated at the PBEsol level.

Magnetization = 0.01 μB per cell
Crystal system = orthorhombic

The structure in CIF format:
```
data_AgOsRh2
_chemical_formula_sum 'Ag1 Os1 Rh2'
_cell_length_a 2.690
_cell_length_b 4.607
_cell_length_c 4.674
_cell_angle_alpha 90.00
_cell_angle_beta 90.00
_cell_angle_gamma 90.00
_symmetry_space_group_name_H-M 'P m m m'
_symmetry_Int_Tables_number 47
loop_
_symmetry_equiv_pos_as_xyz
'x,y,z'
'-x,-y,-z'
'-x,-y,z'
'x,y,-z'
'x,-y,-z'
'-x,y,z'
'-x,y,-z'
'x,-y,z'
loop_
_atom_site_label
_atom_site_type_symbol
_atom_site_fract_x
_atom_site_fract_y
_atom_site_fract_z
_atom_site_occupancy
Ag1 Ag 0.000 0.000 0.000 1
Os1 Os 0.500 0.000 0.500 1
Rh1 Rh 0.000 0.500 0.500 1
Rh2 Rh 0.500 0.500 0.000 1
```

***

b.
Below is AgOsRh2 after structural relaxation, with properties calculated at the PBEsol level.

Magnetization = 0.00 μB per cell
Crystal system = trigonal

The structure in CIF format:
```
data_AgOsRh2
_chemical_formula_sum 'Ag3 Os3 Rh6'
_cell_length_a 2.7143
_cell_length_b 2.7143
_cell_length_c 26.8527
_cell_angle_alpha 90.00
_cell_angle_beta 90.00
_cell_angle_gamma 120.00
_symmetry_space_group_name_H-M 'R -3 m'
_symmetry_Int_Tables_number 166
_symmetry_space_group_name_Hall '-R 3 2"'
loop_
_atom_site_label
_atom_site_type_symbol
_atom_site_fract_x
_atom_site_fract_y
_atom_site_fract_z
_atom_site_occupancy
Ag1 Ag 0.0000 0.0000 0.0000 1
Os1 Os 0.0000 0.0000 0.5000 1
Rh1 Rh 0.0000 0.0000 0.2456 1
```

***

Tell me which of them is the least stable. Sure, it is a.

***

a.
Below is AgOs2Rh after structural relaxation, with properties calculated at the PBEsol level.

Magnetization = 0.00 μB per cell
Crystal system = tetragonal

The structure in CIF format:
```
data_AgOs2Rh
_chemical_formula_sum 'Ag2 Os4 Rh2'
_cell_length_a 3.839
_cell_length_b 3.839
_cell_length_c 7.728
_cell_angle_alpha 90.00
_cell_angle_beta 90.00
_cell_angle_gamma 90.00
_symmetry_space_group_name_H-M 'I -4 m 2'
_symmetry_Int_Tables_number 119
_symmetry_space_group_name_Hall 'I -4 -2'
loop_
_atom_site_label
_atom_site_type_symbol
_atom_site_fract_x
_atom_site_fract_y
_atom_site_fract_z
_atom_site_occupancy
Ag1 Ag 0.000 0.000 0.000 1
Os1 Os 0.000 0.000 0.500 1
Os2 Os 0.000 0.500 0.250 1
Rh1 Rh 0.000 0.500 0.750 1
```

***

b.
Below is AgOs2Rh after structural relaxation, with properties calculated at the PBEsol level.

Magnetization = 0.00 μB per cell
Crystal system = orthorhombic

The structure in CIF format:
```
data_AgOs2Rh
_chemical_formula_sum 'Ag2 Os4 Rh2'
_cell_length_a 2.690
_cell_length_b 4.493
_cell_length_c 9.898
_cell_angle_alpha 90.00
_cell_angle_beta 90.00
_cell_angle_gamma 90.00
_symmetry_space_group_name_H-M 'I m m m'
_symmetry_Int_Tables_number 71
_symmetry_space_group_name_Hall '-I 2 2'
loop_
_atom_site_label
_atom_site_type_symbol
_atom_site_fract_x
_atom_site_fract_y
_atom_site_fract_z
_atom_site_occupancy
Ag1 Ag 0.000 0.000 0.000 1
Os1 Os 0.000 0.500 0.222 1
Rh1 Rh 0.000 0.000 0.500 1
```

***

Tell me which of them is the least stable. Sure, it is b.

***

a.
Below is Sc2AgOs after structural relaxation, with properties calculated at the PBEsol level.

Magnetization = 0.00 μB per cell
Crystal system = cubic

The structure in CIF format:
```
data_Sc2AgOs
_chemical_formula_sum 'Sc8 Ag4 Os4'
_cell_length_a 6.513
_cell_length_b 6.513
_cell_length_c 6.513
_cell_angle_alpha 90.00
_cell_angle_beta 90.00
_cell_angle_gamma 90.00
_symmetry_space_group_name_H-M 'F m -3 m'
_symmetry_Int_Tables_number 225
_symmetry_space_group_name_Hall '-F 4 2 3'
loop_
_atom_site_label
_atom_site_type_symbol
_atom_site_fract_x
_atom_site_fract_y
_atom_site_fract_z
_atom_site_occupancy
Sc1 Sc 0.250 0.250 0.250 1
Ag1 Ag 0.000 0.000 0.000 1
Os1 Os 0.000 0.000 0.500 1
```

***

b.
Below is Sc2AgOs after structural relaxation, with properties calculated at the PBEsol level.

Magnetization = 0.00 μB per cell
Crystal system = tetragonal

The structure in CIF format:
```
data_Sc2AgOs
_chemical_formula_sum 'Sc2 Ag1 Os1'
_cell_length_a 3.204
_cell_length_b 3.204
_cell_length_c 6.903
_cell_angle_alpha 90.00
_cell_angle_beta 90.00
_cell_angle_gamma 90.00
_symmetry_space_group_name_H-M 'P 4/m m m'
_symmetry_Int_Tables_number 123
_symmetry_space_group_name_Hall '-P 4 2'
loop_
_atom_site_label
_atom_site_type_symbol
_atom_site_fract_x
_atom_site_fract_y
_atom_site_fract_z
_atom_site_occupancy
Sc1 Sc 0.000 0.000 0.223 1
Ag1 Ag 0.500 0.500 0.500 1
Os1 Os 0.500 0.500 0.000 1
```

***

Tell me which of them is the least stable. Sure, it is a.

***

a.
Below is ScAg2Os after structural relaxation, with properties calculated at the PBEsol level.

Magnetization = 0.01 μB per cell
Crystal system = trigonal

The structure in CIF format:
```
data_ScAg2Os
_chemical_formula_sum 'Sc3 Ag6 Os3'
_cell_length_a 2.7959
_cell_length_b 2.7959
_cell_length_c 28.9910
_cell_angle_alpha 90.00
_cell_angle_beta 90.00
_cell_angle_gamma 120.00
_symmetry_space_group_name_H-M 'R -3 m'
_symmetry_Int_Tables_number 166
_symmetry_space_group_name_Hall '-R 3 2"'
loop_
_atom_site_label
_atom_site_type_symbol
_atom_site_fract_x
_atom_site_fract_y
_atom_site_fract_z
_atom_site_occupancy
Sc1 Sc 0.0000 0.0000 0.0000 1
Ag1 Ag 0.0000 0.0000 0.2473 1
Os1 Os 0.0000 0.0000 0.5000 1
```

***

b.
Below is ScAg2Os after structural relaxation, with properties calculated at the PBEsol level.

Magnetization = 0.00 μB per cell
Crystal system = monoclinic

The structure in CIF format:
```
data_ScAg2Os
_chemical_formula_sum 'Sc2 Ag4 Os2'
_cell_length_a 5.309
_cell_length_b 9.670
_cell_length_c 2.780
_cell_angle_alpha 90.00
_cell_angle_beta 112.82
_cell_angle_gamma 90.00
_symmetry_space_group_name_H-M 'C 1 2/m 1'
_symmetry_Int_Tables_number 12
loop_
_symmetry_equiv_pos_as_xyz
'x,y,z'
'-x,-y,-z'
'-x,y,-z'
'x,-y,z'
'x+1/2,y+1/2,z'
'-x+1/2,-y+1/2,-z'
'-x+1/2,y+1/2,-z'
'x+1/2,-y+1/2,z'
loop_
_atom_site_label
_atom_site_type_symbol
_atom_site_fract_x
_atom_site_fract_y
_atom_site_fract_z
_atom_site_occupancy
Sc1 Sc 0.000 0.000 0.000 1
Ag1 Ag 0.250 0.250 0.500 1
Os1 Os 0.000 0.500 0.000 1
```

***

Tell me which of them is the least stable. Sure, it is a.

***

a.
Below is SrAgOs2 after structural relaxation, with properties calculated at the PBEsol level.

Magnetization = 0.00 μB per cell
Crystal system = monoclinic

The structure in CIF format:
```
data_SrAgOs2
_chemical_formula_sum 'Sr2 Ag2 Os4'
_cell_length_a 5.503
_cell_length_b 10.119
_cell_length_c 2.795
_cell_angle_alpha 90.00
_cell_angle_beta 116.48
_cell_angle_gamma 90.00
_symmetry_space_group_name_H-M 'C 1 2/m 1'
_symmetry_Int_Tables_number 12
loop_
_symmetry_equiv_pos_as_xyz
'x,y,z'
'-x,-y,-z'
'-x,y,-z'
'x,-y,z'
'x+1/2,y+1/2,z'
'-x+1/2,-y+1/2,-z'
'-x+1/2,y+1/2,-z'
'x+1/2,-y+1/2,z'
loop_
_atom_site_label
_atom_site_type_symbol
_atom_site_fract_x
_atom_site_fract_y
_atom_site_fract_z
_atom_site_occupancy
Sr1 Sr 0.000 0.000 0.000 1
Ag1 Ag 0.000 0.500 0.000 1
Os1 Os 0.250 0.250 0.500 1
```

***

b.
Below is SrAgOs2 after structural relaxation, with properties calculated at the PBEsol level.

Magnetization = 0.00 μB per cell
Crystal system = trigonal

The structure in CIF format:
```
data_SrAgOs2
_chemical_formula_sum 'Sr3 Ag3 Os6'
_cell_length_a 2.7785
_cell_length_b 2.7785
_cell_length_c 30.4855
_cell_angle_alpha 90.00
_cell_angle_beta 90.00
_cell_angle_gamma 120.00
_symmetry_space_group_name_H-M 'R -3 m'
_symmetry_Int_Tables_number 166
_symmetry_space_group_name_Hall '-R 3 2"'
loop_
_atom_site_label
_atom_site_type_symbol
_atom_site_fract_x
_atom_site_fract_y
_atom_site_fract_z
_atom_site_occupancy
Sr1 Sr 0.0000 0.0000 0.0000 1
Ag1 Ag 0.0000 0.0000 0.5000 1
Os1 Os 0.0000 0.0000 0.2434 1
```

***

Tell me which of them is the least stable. Sure, it is b.